# 1
The following is a GGA-PBE calculation of RbBa3W after structural relaxation, from Alexandria via LeMat-Bulk.

* calculated total energy: -15.450 eV per cell
* energy relative to the lowest polymorph listed for this composition: 0.0 meV/atom
* ΔE_f: 848 meV/atom

a b c (Å): 6.349 6.349 6.349
angles (deg): 90.00 90.00 90.00
Space group Pm-3m (No. 221)
Asymmetric unit:
1 Rb 0.000 0.000 0.000 (multiplicity 1)
2 Ba 0.000 0.500 0.500 (multiplicity 3)
3 W 0.500 0.500 0.500 (multiplicity 1)

---

# 2
The following is a GGA-PBE calculation of BaLaRe2 after structural relaxation, from Alexandria via LeMat-Bulk.

* calculated total energy: -92.208 eV per cell
* energy relative to the lowest polymorph listed for this composition: 0.0 meV/atom
* ΔE_f: 253 meV/atom

a b c (Å): 4.2411 4.2411 25.2194
angles (deg): 90.00 90.00 120.00
Space group R3m (No. 160, hexagonal axes)
Asymmetric unit:
1 Ba 0.0000 0.0000 0.0000 (multiplicity 3)
2 La 0.0000 0.0000 0.1813 (multiplicity 3)
3 Re 0.0000 0.0000 0.4238 (multiplicity 3)
4 Re 0.0000 0.0000 0.7747 (multiplicity 3)